# 1
Density functional theory data (PBE-GGA) for an optimized crystal structure of NbFeGe2Ru. Values from VASP.

Geometry as Quantum ESPRESSO input:
```
&SYSTEM
  ibrav = 0, nat = 5, ntyp = 4
/
ATOMIC_SPECIES
Ru 101.07 Ru.upf
Nb 92.91 Nb.upf
Ge 72.64 Ge.upf
Fe 55.84 Fe.upf
CELL_PARAMETERS angstrom
-1.154 4.063 -1.016
-4.311 -0.916 1.234
0.892 1.268 4.058
ATOMIC_POSITIONS crystal
Ru 0.500 0.500 0.500
Nb 0.000 0.500 0.000
Ge 0.000 0.000 0.500
Ge 0.500 0.000 0.000
Fe 0.000 0.000 0.000
```

Summary:
Space group   P4/mmm
Raw total energy   -6.7438 eV per atom
V   17.3 A^3/atom

---

# 2
Density functional theory data (PBE-GGA) for an optimized crystal structure of Nb2FeGeSb. Values from VASP.

Geometry as Quantum ESPRESSO input:
```
&SYSTEM
  ibrav = 0, nat = 5, ntyp = 4
/
ATOMIC_SPECIES
Sb 121.76 Sb.upf
Nb 92.91 Nb.upf
Ge 72.64 Ge.upf
Fe 55.84 Fe.upf
CELL_PARAMETERS angstrom
-2.296 3.987 1.117
-1.629 -2.139 4.287
3.850 1.586 2.254
ATOMIC_POSITIONS crystal
Sb 0.000 0.500 0.000
Nb 0.000 0.000 0.500
Nb 0.500 0.000 0.000
Ge 0.000 0.000 0.000
Fe 0.500 0.500 0.500
```

Summary:
Space group   P4/mmm
Raw total energy   -5.8740 eV per atom
V   22.7 A^3/atom

---

# 3
Density functional theory data (PBE-GGA) for an optimized crystal structure of TiNbFeGe2. Values from VASP.

Geometry as Quantum ESPRESSO input:
```
&SYSTEM
  ibrav = 0, nat = 5, ntyp = 4
/
ATOMIC_SPECIES
Nb 92.91 Nb.upf
Ti 47.87 Ti.upf
Ge 72.64 Ge.upf
Fe 55.84 Fe.upf
CELL_PARAMETERS angstrom
-1.920 -4.401 1.018
3.454 -1.976 -2.029
2.449 -0.085 4.253
ATOMIC_POSITIONS crystal
Nb 0.000 0.000 0.000
Ti 0.500 0.500 0.500
Ge 0.000 0.000 0.500
Ge 0.500 0.000 0.000
Fe 0.000 0.500 0.000
```

Summary:
Space group   P4/mmm
Raw total energy   -6.1670 eV per atom
V   21.5 A^3/atom

---

# 4
Density functional theory data (PBE-GGA) for an optimized crystal structure of Nd2Fe3Ge5. Values from VASP.

Geometry as Quantum ESPRESSO input:
```
&SYSTEM
  ibrav = 0, nat = 20, ntyp = 3
/
ATOMIC_SPECIES
Nd 144.24 Nd.upf
Fe 55.84 Fe.upf
Ge 72.64 Ge.upf
CELL_PARAMETERS angstrom
5.429 0.000 1.809
2.116 7.632 2.699
0.229 -0.148 8.362
ATOMIC_POSITIONS crystal
Nd 0.137 0.596 0.130
Nd 0.637 0.130 0.596
Nd 0.863 0.404 0.870
Nd 0.363 0.870 0.404
Fe 0.357 0.552 0.733
Fe 0.857 0.733 0.552
Fe 0.643 0.448 0.267
Fe 0.143 0.267 0.448
Fe 0.250 0.000 0.000
Fe 0.750 0.000 0.000
Ge 0.405 0.270 0.920
Ge 0.905 0.920 0.270
Ge 0.595 0.730 0.080
Ge 0.095 0.080 0.730
Ge 0.467 0.783 0.783
Ge 0.533 0.217 0.217
Ge 0.750 0.500 0.500
Ge 0.250 0.500 0.500
Ge 0.033 0.217 0.217
Ge 0.967 0.783 0.783
```

Summary:
Space group   Ibam
Raw total energy   -6.2598 eV per atom
V   17.2 A^3/atom

---

# 5
Density functional theory data (PBE-GGA) for an optimized crystal structure of Nd2Fe3Ge4. Values from VASP.

Geometry as Quantum ESPRESSO input:
```
&SYSTEM
  ibrav = 0, nat = 9, ntyp = 3
/
ATOMIC_SPECIES
Nd 144.24 Nd.upf
Fe 55.84 Fe.upf
Ge 72.64 Ge.upf
CELL_PARAMETERS angstrom
-4.071 2.977 -2.298
-1.003 -4.423 3.185
2.374 4.386 4.592
ATOMIC_POSITIONS crystal
Nd 0.639 0.639 0.278
Nd 0.361 0.361 0.722
Fe 0.500 0.000 0.000
Fe 0.000 0.000 0.000
Fe 0.000 0.500 0.000
Ge 0.021 0.672 0.693
Ge 0.672 0.021 0.693
Ge 0.979 0.328 0.307
Ge 0.328 0.979 0.307
```

Summary:
Space group   Fmmm
Raw total energy   -6.2908 eV per atom
V   18.0 A^3/atom

---

# 6
Density functional theory data (PBE-GGA) for an optimized crystal structure of NdFeGe2. Values from VASP.

Geometry as Quantum ESPRESSO input:
```
&SYSTEM
  ibrav = 0, nat = 4, ntyp = 3
/
ATOMIC_SPECIES
Ge 72.64 Ge.upf
Nd 144.24 Nd.upf
Fe 55.84 Fe.upf
CELL_PARAMETERS angstrom
-2.081 -0.060 3.540
-3.973 -1.037 0.029
-0.702 -5.387 1.877
ATOMIC_POSITIONS crystal
Ge 0.785 0.785 0.644
Ge 0.215 0.215 0.356
Nd 0.000 0.000 0.000
Fe 0.500 0.500 0.500
```

Summary:
Space group   R-3m
Raw total energy   -6.0883 eV per atom
V   19.1 A^3/atom

---

# 7
Density functional theory data (PBE-GGA) for an optimized crystal structure of NdFeGe2. Values from VASP.

Geometry as Quantum ESPRESSO input:
```
&SYSTEM
  ibrav = 0, nat = 16, ntyp = 3
/
ATOMIC_SPECIES
Nd 144.24 Nd.upf
Fe 55.84 Fe.upf
Ge 72.64 Ge.upf
CELL_PARAMETERS angstrom
4.229 0.000 0.000
0.000 6.996 0.000
0.000 0.000 10.212
ATOMIC_POSITIONS crystal
Nd 0.750 0.670 0.375
Nd 0.750 0.170 0.125
Nd 0.250 0.330 0.625
Nd 0.250 0.830 0.875
Fe 0.250 0.016 0.388
Fe 0.750 0.984 0.612
Fe 0.250 0.516 0.112
Fe 0.750 0.484 0.888
Ge 0.750 0.672 0.075
Ge 0.250 0.328 0.925
Ge 0.750 0.172 0.425
Ge 0.250 0.828 0.575
Ge 0.750 0.142 0.815
Ge 0.250 0.358 0.315
Ge 0.750 0.642 0.685
Ge 0.250 0.858 0.185
```

Summary:
Space group   Pnma
Raw total energy   -6.1421 eV per atom
V   18.9 A^3/atom

---

# 8
Density functional theory data (PBE-GGA) for an optimized crystal structure of NdFe6Ge6. Values from VASP.

Geometry as Quantum ESPRESSO input:
```
&SYSTEM
  ibrav = 0, nat = 13, ntyp = 3
/
ATOMIC_SPECIES
Nd 144.24 Nd.upf
Fe 55.84 Fe.upf
Ge 72.64 Ge.upf
CELL_PARAMETERS angstrom
-2.707 -1.317 4.180
0.455 -6.407 1.450
3.604 0.009 5.511
ATOMIC_POSITIONS crystal
Nd 0.000 0.000 0.000
Fe 0.000 0.500 0.000
Fe 0.500 0.500 0.000
Fe 0.000 0.000 0.500
Fe 0.500 0.000 0.500
Fe 0.500 0.748 0.252
Fe 0.500 0.252 0.748
Ge 0.339 0.661 0.661
Ge 0.661 0.339 0.339
Ge 0.000 0.349 0.651
Ge 0.000 0.651 0.349
Ge 0.326 0.174 0.174
Ge 0.674 0.826 0.826
```

Summary:
Space group   Immm
Raw total energy   -6.6529 eV per atom
V   14.5 A^3/atom

---

# 9
Density functional theory data (PBE-GGA) for an optimized crystal structure of Nd2FeGe. Values from VASP.

Geometry as Quantum ESPRESSO input:
```
&SYSTEM
  ibrav = 0, nat = 4, ntyp = 3
/
ATOMIC_SPECIES
Ge 72.64 Ge.upf
Nd 144.24 Nd.upf
Fe 55.84 Fe.upf
CELL_PARAMETERS angstrom
-0.469 -3.079 -1.519
1.625 -0.731 -2.972
7.983 -4.918 3.554
ATOMIC_POSITIONS crystal
Ge 0.500 0.500 0.500
Nd 0.088 0.088 0.736
Nd 0.912 0.912 0.264
Fe 0.000 0.000 0.000
```

Summary:
Space group   R-3m
Raw total energy   -5.2267 eV per atom
V   25.5 A^3/atom

---

# 10
Density functional theory data (PBE-GGA) for an optimized crystal structure of Nd2FeGe5. Values from VASP.

Geometry as Quantum ESPRESSO input:
```
&SYSTEM
  ibrav = 0, nat = 8, ntyp = 3
/
ATOMIC_SPECIES
Nd 144.24 Nd.upf
Fe 55.84 Fe.upf
Ge 72.64 Ge.upf
CELL_PARAMETERS angstrom
6.253 -0.139 -0.198
-3.200 5.375 0.198
-3.200 -1.642 5.121
ATOMIC_POSITIONS crystal
Nd 0.500 0.232 0.732
Nd 0.500 0.732 0.232
Fe 0.000 0.024 0.024
Ge 0.447 0.713 0.713
Ge 0.000 0.713 0.266
Ge 0.000 0.266 0.713
Ge 0.553 0.266 0.266
Ge 0.000 0.277 0.277
```

Summary:
Space group   I4mm
Raw total energy   -5.5105 eV per atom
V   20.9 A^3/atom

---

# 11
Density functional theory data (PBE-GGA) for an optimized crystal structure of NdFe12Ge6. Values from VASP.

Geometry as Quantum ESPRESSO input:
```
&SYSTEM
  ibrav = 0, nat = 19, ntyp = 3
/
ATOMIC_SPECIES
Nd 144.24 Nd.upf
Fe 55.84 Fe.upf
Ge 72.64 Ge.upf
CELL_PARAMETERS angstrom
6.771 0.021 0.029
-1.658 6.565 0.029
-1.658 -2.136 6.208
ATOMIC_POSITIONS crystal
Nd 0.000 0.000 0.000
Fe 0.885 0.115 0.500
Fe 0.867 0.578 0.578
Fe 0.578 0.578 0.867
Fe 0.422 0.133 0.422
Fe 0.422 0.422 0.133
Fe 0.133 0.422 0.422
Fe 0.115 0.500 0.885
Fe 0.500 0.885 0.115
Fe 0.115 0.885 0.500
Fe 0.885 0.500 0.115
Fe 0.500 0.115 0.885
Fe 0.578 0.867 0.578
Ge 0.707 0.254 0.254
Ge 0.254 0.254 0.707
Ge 0.254 0.707 0.254
Ge 0.746 0.746 0.293
Ge 0.293 0.746 0.746
Ge 0.746 0.293 0.746
```

Summary:
Space group   R-3m
Raw total energy   -7.0549 eV per atom
V   14.6 A^3/atom